1.
VASP calculation (PBE) on crystalline MnBe17Pd at its relaxed geometry.

Properties
* energy of formation from the pure elements: -11 kJ per mole of atoms
* symmetry: R3m

a b c (Å): 5.4846 5.4846 5.4846
angles (deg): 82.19 82.19 82.19
Fractional positions:
Be 0.0014 0.3051 0.6948
Be 0.6521 0.1582 0.6521
Be 0.0087 0.0087 0.4943
Be 0.6521 0.6521 0.1582
Be 0.4943 0.0087 0.0087
Be 0.6948 0.0014 0.3051
Be 0.3465 0.3465 0.8352
Be 0.1003 0.1003 0.1003
Be 0.0087 0.4943 0.0087
Be 0.1582 0.6521 0.6521
Be 0.3465 0.8352 0.3465
Be 0.8352 0.3465 0.3465
Be 0.3051 0.0014 0.6948
Be 0.9005 0.9005 0.9005
Be 0.0014 0.6948 0.3051
Be 0.3051 0.6948 0.0014
Be 0.6948 0.3051 0.0014
Pd 0.6620 0.6620 0.6620
Mn 0.3322 0.3322 0.3322

2.
VASP calculation (PBE) on crystalline Pm2MnBePd6 at its relaxed geometry.

Properties
* energy of formation from the pure elements: -50 kJ per mole of atoms
* symmetry: P-1

a b c (Å): 6.0104 6.9377 7.5552
angles (deg): 48.77 60.23 86.47
Fractional positions:
Pd 0.2452 0.2544 0.4683
Pd 0.2514 0.2439 0.0354
Pd 0.7486 0.7561 0.9646
Pd 0.2551 0.7478 0.8847
Pd 0.7449 0.2522 0.1153
Pd 0.7548 0.7456 0.5317
Pm 0.7222 0.2796 0.5324
Pm 0.2778 0.7204 0.4676
Mn 0.0000 0.0000 0.0000
Be 0.5000 0.5000 0.0000

3.
VASP calculation (PBE) on crystalline Pr2MnBePd6 at its relaxed geometry.

Properties
* energy of formation from the pure elements: -49 kJ per mole of atoms
* symmetry: C2/m

a b c (Å): 5.9192 7.1641 7.1769
angles (deg): 48.80 65.50 89.92
Fractional positions:
Pd 0.7385 0.2619 0.0496
Pd 0.2157 0.2615 0.0474
Pd 0.2615 0.7381 0.9504
Pd 0.7389 0.7857 0.5241
Pd 0.2611 0.2143 0.4759
Pd 0.7843 0.7385 0.9526
Be 0.5000 0.5000 0.0000
Pr 0.2733 0.7269 0.4549
Pr 0.7267 0.2731 0.5451
Mn 0.0000 0.0000 0.0000

4.
VASP calculation (PBE) on crystalline MnBeTePd2 at its relaxed geometry.

Properties
* E_form (uncorrected): 0.031 eV/atom
* symmetry: P4/mmm

a b c (Å): 4.2987 4.4887 4.2987
angles (deg): 90.00 90.00 90.00
Fractional positions:
Pd 0.5000 0.0000 0.0000
Pd 0.0000 0.0000 0.5000
Mn 0.0000 0.5000 0.0000
Te 0.5000 0.5000 0.5000
Be 0.0000 0.0000 0.0000

5.
VASP calculation (PBE) on crystalline MnBe2TePd at its relaxed geometry.

Properties
* E_form (uncorrected): 1.172 eV/atom
* symmetry: P4/mmm

a b c (Å): 4.5772 5.0884 4.5772
angles (deg): 90.00 90.00 90.00
Fractional positions:
Te 0.0000 0.0000 0.0000
Pd 0.0000 0.5000 0.0000
Be 0.5000 0.0000 0.0000
Be 0.0000 0.0000 0.5000
Mn 0.5000 0.5000 0.5000

6.
VASP calculation (PBE) on crystalline Pm2MnBe3Pt4 at its relaxed geometry.

Properties
* energy of formation from the pure elements: -76 kJ per mole of atoms
* symmetry: P-4m2

a b c (Å): 4.0407 4.0407 10.2229
angles (deg): 90.00 90.00 90.00
Fractional positions:
Be 0.0000 0.0000 0.5000
Be 0.0000 0.5000 0.1159
Be 0.5000 0.0000 0.8841
Pt 0.5000 0.5000 0.0000
Pt 0.5000 0.0000 0.6499
Pt 0.0000 0.0000 0.0000
Pt 0.0000 0.5000 0.3501
Mn 0.5000 0.5000 0.5000
Pm 0.5000 0.0000 0.2421
Pm 0.0000 0.5000 0.7579

7.
VASP calculation (PBE) on crystalline MnBe2Pt2 at its relaxed geometry.

Properties
* energy of formation from the pure elements: -36 kJ per mole of atoms
* symmetry: P4/mbm
* offset from the most stable computed form: 0.0781 eV/atom

a b c (Å): 6.5872 6.5872 2.6871
angles (deg): 90.00 90.00 90.00
Fractional positions:
Pt 0.8270 0.3270 0.5000
Pt 0.6730 0.8270 0.5000
Pt 0.1730 0.6730 0.5000
Pt 0.3270 0.1730 0.5000
Be 0.1243 0.3757 0.0000
Be 0.3757 0.8757 0.0000
Be 0.8757 0.6243 0.0000
Be 0.6243 0.1243 0.0000
Mn 0.5000 0.5000 0.0000
Mn 0.0000 0.0000 0.0000

8.
VASP calculation (PBE) on crystalline MnBePt2 at its relaxed geometry.

Properties
* energy of formation from the pure elements: -13 kJ per mole of atoms
* symmetry: F-43m

a b c (Å): 4.3094 4.3094 4.3094
angles (deg): 60.00 60.00 60.00
Fractional positions:
Pt 0.0000 0.0000 0.0000
Pt 0.2500 0.2500 0.2500
Mn 0.7500 0.7500 0.7500
Be 0.5000 0.5000 0.5000

9.
VASP calculation (PBE) on crystalline MnBePt at its relaxed geometry.

Properties
* energy of formation from the pure elements: -32 kJ per mole of atoms
* symmetry: I4mm
* offset from the most stable computed form: 0.0060 eV/atom

a b c (Å): 5.1722 5.1722 5.1722
angles (deg): 148.72 148.72 44.82
Fractional positions:
Pt 0.6457 0.6457 0.0000
Be 0.0075 0.0075 0.0000
Mn 0.3468 0.3468 0.0000

10.
VASP calculation (PBE) on crystalline MnBePt2 at its relaxed geometry.

Properties
* energy of formation from the pure elements: -31 kJ per mole of atoms
* symmetry: P4mm

a b c (Å): 2.8060 2.8060 6.7952
angles (deg): 90.00 90.00 90.00
Fractional positions:
Mn 0.5000 0.5000 0.7214
Be 0.0000 0.0000 0.4867
Pt 0.0000 0.0000 0.9874
Pt 0.5000 0.5000 0.3045

11.
VASP calculation (PBE) on crystalline MnBePt at its relaxed geometry.

Properties
* energy of formation from the pure elements: -32 kJ per mole of atoms
* symmetry: P3m1
* offset from the most stable computed form: 0.0000 eV/atom

a b c (Å): 4.0300 4.0300 2.7840
angles (deg): 90.00 90.00 120.00
Fractional positions:
Be 0.0000 0.0000 0.8345
Mn 0.6667 0.3333 0.3329
Pt 0.3333 0.6667 0.8327

12.
VASP calculation (PBE) on crystalline MnBe2Pt at its relaxed geometry.

Properties
* energy of formation from the pure elements: -26 kJ per mole of atoms
* symmetry: I-4m2
* offset from the most stable computed form: 0.2158 eV/atom

a b c (Å): 4.5278 4.5278 4.5278
angles (deg): 134.80 134.80 65.84
Fractional positions:
Be 0.2500 0.7500 0.5000
Be 0.0000 0.0000 0.0000
Mn 0.5000 0.5000 0.0000
Pt 0.7500 0.2500 0.5000

13.
VASP calculation (PBE) on crystalline MnBePt2 at its relaxed geometry.

Properties
* energy of formation from the pure elements: -56 kJ per mole of atoms
* symmetry: P4/mmm

a b c (Å): 2.8087 2.8087 6.7184
angles (deg): 90.00 90.00 90.00
Fractional positions:
Be 0.5000 0.5000 0.2500
Pt 0.0000 0.0000 0.4667
Pt 0.0000 0.0000 0.0333
Mn 0.5000 0.5000 0.7500

14.
VASP calculation (PBE) on crystalline MnBe2Pt at its relaxed geometry.

Properties
* energy of formation from the pure elements: 7 kJ per mole of atoms
* symmetry: I-42d
* offset from the most stable computed form: 0.5594 eV/atom

a b c (Å): 6.1725 6.1725 5.0634
angles (deg): 52.44 52.44 90.00
Fractional positions:
Mn 0.2500 0.7500 0.5000
Mn 0.5000 0.5000 0.0000
Be 0.8750 0.8839 0.7500
Be 0.3750 0.3661 0.7500
Be 0.1161 0.6250 0.2500
Be 0.6339 0.1250 0.2500
Pt 0.0000 0.0000 0.0000
Pt 0.7500 0.2500 0.5000

15.
VASP calculation (PBE) on crystalline MnBePt2 at its relaxed geometry.

Properties
* energy of formation from the pure elements: -43 kJ per mole of atoms
* symmetry: Cmmm

a b c (Å): 6.3492 4.3537 2.8868
angles (deg): 90.00 62.96 125.34
Fractional positions:
Pt 0.5000 0.0000 0.5000
Pt 0.0000 0.0000 0.0000
Be 0.0000 0.5000 0.5000
Mn 0.5000 0.5000 0.0000

16.
VASP calculation (PBE) on crystalline MnBe2Pt2 at its relaxed geometry.

Properties
* energy of formation from the pure elements: -6 kJ per mole of atoms
* symmetry: I4/mmm
* offset from the most stable computed form: 0.3879 eV/atom

a b c (Å): 3.1465 3.1465 6.6315
angles (deg): 76.28 76.28 90.00
Fractional positions:
Pt 0.6123 0.6123 0.7754
Pt 0.3877 0.3877 0.2246
Be 0.7500 0.2500 0.5000
Be 0.2500 0.7500 0.5000
Mn 0.0000 0.0000 0.0000

17.
VASP calculation (PBE) on crystalline MnBe2Pt at its relaxed geometry.

Properties
* energy of formation from the pure elements: -39 kJ per mole of atoms
* symmetry: Amm2
* offset from the most stable computed form: 0.0867 eV/atom

a b c (Å): 3.6894 2.7495 4.5467
angles (deg): 72.46 90.00 90.00
Fractional positions:
Pt 0.5000 0.7791 0.8161
Be 0.5000 0.0535 0.2684
Be 0.0000 0.1945 0.9855
Mn 0.0000 0.4729 0.4300

18.
VASP calculation (PBE) on crystalline MnBePt4 at its relaxed geometry.

Properties
* energy of formation from the pure elements: 14 kJ per mole of atoms
* symmetry: F-43m

a b c (Å): 5.2177 5.2177 5.2177
angles (deg): 60.00 60.00 60.00
Fractional positions:
Be 0.7500 0.7500 0.7500
Mn 0.0000 0.0000 0.0000
Pt 0.8743 0.3752 0.3752
Pt 0.3752 0.3752 0.8743
Pt 0.3752 0.8743 0.3752
Pt 0.3752 0.3752 0.3752

19.
VASP calculation (PBE) on crystalline MnBePt3 at its relaxed geometry.

Properties
* energy of formation from the pure elements: 118 kJ per mole of atoms
* symmetry: Pm-3m
* offset from the most stable computed form: 1.3824 eV/atom

a b c (Å): 4.5390 4.5390 4.5390
angles (deg): 90.00 90.00 90.00
Fractional positions:
Mn 0.0000 0.0000 0.0000
Pt 0.0000 0.5000 0.0000
Pt 0.0000 0.0000 0.5000
Pt 0.5000 0.0000 0.0000
Be 0.5000 0.5000 0.5000

20.
VASP calculation (PBE) on crystalline MnBePt2 at its relaxed geometry.

Properties
* energy of formation from the pure elements: -44 kJ per mole of atoms
* symmetry: P4/mmm

a b c (Å): 4.0003 4.0017 3.3984
angles (deg): 90.00 90.00 90.00
Fractional positions:
Pt 0.5000 0.5000 0.0000
Pt 0.0000 0.0000 0.0000
Mn 0.0000 0.5000 0.5000
Be 0.5000 0.0000 0.5000

21.
VASP calculation (PBE) on crystalline MnBe2Pt at its relaxed geometry.

Properties
* energy of formation from the pure elements: -39 kJ per mole of atoms
* symmetry: P4/mmm
* offset from the most stable computed form: 0.0863 eV/atom

a b c (Å): 2.7820 2.7820 5.5720
angles (deg): 90.00 90.00 90.00
Fractional positions:
Pt 0.5000 0.5000 0.7500
Be 0.0000 0.0000 0.0058
Be 0.0000 0.0000 0.4942
Mn 0.5000 0.5000 0.2500

22.
VASP calculation (PBE) on crystalline MnBe2Pt at its relaxed geometry.

Properties
* energy of formation from the pure elements: -8 kJ per mole of atoms
* symmetry: R-3m
* offset from the most stable computed form: 0.4079 eV/atom

a b c (Å): 7.6154 7.6154 7.6154
angles (deg): 20.10 20.10 20.10
Fractional positions:
Pt 0.7500 0.7500 0.7500
Be 0.5025 0.5025 0.5025
Be 0.9975 0.9975 0.9975
Mn 0.2500 0.2500 0.2500

23.
VASP calculation (PBE) on crystalline MnBePt2 at its relaxed geometry.

Properties
* energy of formation from the pure elements: -39 kJ per mole of atoms
* symmetry: Cm

a b c (Å): 4.8249 4.8249 4.3252
angles (deg): 71.96 71.96 34.53
Fractional positions:
Pt 0.7738 0.7738 0.6860
Pt 0.9950 0.9950 0.0379
Be 0.4940 0.4940 0.5579
Mn 0.2373 0.2373 0.2182

24.
VASP calculation (PBE) on crystalline MnBePt2 at its relaxed geometry.

Properties
* energy of formation from the pure elements: -47 kJ per mole of atoms
* symmetry: I4/mmm

a b c (Å): 4.3742 4.3742 4.0342
angles (deg): 62.55 62.55 54.77
Fractional positions:
Pt 0.4996 0.4996 0.5005
Pt 0.0004 0.0004 0.9995
Be 0.7500 0.7500 0.7500
Mn 0.2500 0.2500 0.2500

25.
VASP calculation (PBE) on crystalline MnBe5Pt4 at its relaxed geometry.

Properties
* energy of formation from the pure elements: -61 kJ per mole of atoms
* symmetry: P4/mmm

a b c (Å): 2.8158 2.8158 14.1113
angles (deg): 90.00 90.00 90.00
Fractional positions:
Pt 0.0000 0.0000 0.3984
Pt 0.0000 0.0000 0.6016
Pt 0.0000 0.0000 0.1948
Pt 0.0000 0.0000 0.8052
Be 0.5000 0.5000 0.2943
Be 0.5000 0.5000 0.5000
Be 0.5000 0.5000 0.9078
Be 0.5000 0.5000 0.7057
Be 0.5000 0.5000 0.0922
Mn 0.0000 0.0000 0.0000

26.
VASP calculation (PBE) on crystalline MnBePt at its relaxed geometry.

Properties
* energy of formation from the pure elements: 22 kJ per mole of atoms
* symmetry: F-43m
* offset from the most stable computed form: 0.5606 eV/atom

a b c (Å): 3.9831 3.9831 3.9831
angles (deg): 60.00 60.00 60.00
Fractional positions:
Mn 0.7500 0.7500 0.7500
Pt 0.0000 0.0000 0.0000
Be 0.5000 0.5000 0.5000

27.
VASP calculation (PBE) on crystalline MnBePt2 at its relaxed geometry.

Properties
* energy of formation from the pure elements: -33 kJ per mole of atoms
* symmetry: Pm

a b c (Å): 3.8543 2.7689 5.3824
angles (deg): 74.57 90.00 90.00
Fractional positions:
Mn 0.5000 0.5642 0.7638
Pt 0.5000 0.2768 0.3203
Pt 0.0000 0.9516 0.9818
Be 0.0000 0.7074 0.4341

28.
VASP calculation (PBE) on crystalline MnBe2Pt at its relaxed geometry.

Properties
* energy of formation from the pure elements: -28 kJ per mole of atoms
* symmetry: Imm2
* offset from the most stable computed form: 0.1998 eV/atom

a b c (Å): 4.7548 4.7548 4.7548
angles (deg): 146.02 131.61 60.44
Fractional positions:
Be 0.7689 0.2689 0.5000
Be 0.9884 0.9884 0.0000
Pt 0.2334 0.7334 0.5000
Mn 0.5093 0.5093 0.0000